# 1
Computed, not measured: a relaxed Pm8CoNi3Br4 crystal at the PBE-GGA level of DFT.

The value obtained for the raw formation energy is -0.798 eV/atom.

The structure belongs to space group R-3m (No. 166, hexagonal axes); the cell edges are 8.0603, 8.0603 and 23.1058 Å and the angles 90.00°, 90.00° and 120.00°. The inequivalent atoms are Pm at (0.0000, 0.0000, 0.2308), Pm at (0.0056, 0.5028, 0.2309), Co at (0.0000, 0.0000, 0.5000), Ni at (0.0000, 0.5000, 0.5000), Br at (0.0000, 0.0000, 0.0000) and Br at (0.0000, 0.5000, 0.0000).

=====

# 2
Computed, not measured: a relaxed ReTc2Hg crystal at the PBE-GGA level of DFT.

The formation energy is 2.80 eV per formula unit.

The structure belongs to space group P4/mmm (No. 123); the cell edges are 4.598, 4.598 and 3.035 Å and the angles 90.00°, 90.00° and 90.00°. The inequivalent atoms are Re at (0.000, 0.000, 0.000), Tc at (0.000, 0.500, 0.500) and Hg at (0.500, 0.500, 0.000).

=====

Values of N(E_F), in order: 0.691; 1.330, all in states/eV/atom.
Values of magnetic moment, in order: 0.000; 0.000, all in μB/atom.